Run one
! HgW2Cl PBE-GGA relaxed; values from VASP
&SYSTEM
  ibrav = 0, nat = 4, ntyp = 3
/
ATOMIC_SPECIES
Hg 200.59 Hg.upf
W 183.84 W.upf
Cl 35.45 Cl.upf
CELL_PARAMETERS angstrom
2.9154 0.0000 0.0000
0.0000 4.4807 0.0000
-1.4470 0.0000 5.6029
ATOMIC_POSITIONS angstrom
Hg 0.0000 0.0000 0.0000
W 0.0130 0.0000 2.8489
W 1.4634 2.2404 1.8397
Cl 0.0017 2.2404 3.8231
! Density of states at the Fermi level ... 0.949 states/eV per atom
! Space group ... Pm (6)

***

Run two
! HgW2Cl PBE-GGA relaxed; values from VASP
&SYSTEM
  ibrav = 0, nat = 4, ntyp = 3
/
ATOMIC_SPECIES
Hg 200.59 Hg.upf
W 183.84 W.upf
Cl 35.45 Cl.upf
CELL_PARAMETERS angstrom
1.6048 -2.4693 0.0000
1.6048 2.4693 0.0000
0.0000 0.0000 10.2426
ATOMIC_POSITIONS angstrom
Hg 0.0000 0.0000 0.0000
W 0.0000 0.0000 4.5947
W 1.6048 0.0000 2.5944
Cl 1.6048 0.0000 6.6197
! Density of states at the Fermi level ... 0.589 states/eV per atom
! Space group ... Cmm2 (35)

***

Here are the energies relative to the best structure, in meV/atom: run one 409; run two 0.